# Li2FeW2O8 GGA+U relaxed
data_Li2FeW2O8
_chemical_formula_sum 'Li2 Fe1 W2 O8'
_cell_length_a 5.055
_cell_length_b 5.734
_cell_length_c 5.988
_cell_angle_alpha 70.61
_cell_angle_beta 88.56
_cell_angle_gamma 64.12
_symmetry_space_group_name_H-M 'P -1'
_symmetry_Int_Tables_number 2
loop_
_symmetry_equiv_pos_as_xyz
'x,y,z'
'-x,-y,-z'
loop_
_atom_site_label
_atom_site_type_symbol
_atom_site_fract_x
_atom_site_fract_y
_atom_site_fract_z
Li1 Li 0.043 0.413 0.248
Fe1 Fe 0.500 0.500 0.500
W1 W 0.267 0.977 0.839
O1 O 0.167 0.779 0.164
O2 O 0.243 0.751 0.697
O3 O 0.273 0.259 0.577
O4 O 0.320 0.217 0.043
# **E**: -89.7 eV/cell
# **Mass density**: 6.4 g/cm3